The following is a PBE calculation of crystalline BaYHgRu2 at its relaxed geometry, from Alexandria via LeMat-Bulk.

The structure in CIF format:
```
data_BaYHgRu2
_space_group_name_H-M_alt 'P 1'
_space_group_IT_number 1
_space_group_name_Hall 'P 1'
_cell_length_a 5.221
_cell_length_b 5.221
_cell_length_c 5.280
_cell_angle_alpha 90.00
_cell_angle_beta 90.00
_cell_angle_gamma 90.00
loop_
_atom_site_label
_atom_site_fract_x
_atom_site_fract_y
_atom_site_fract_z
_atom_site_occupancy
Ba1 0.000 0.000 0.000 1
Y1 0.500 0.500 0.000 1
Hg1 0.500 0.500 0.500 1
Ru1 0.000 0.500 0.500 1
Ru2 0.500 0.000 0.500 1
```

## Properties
D(E_F) (states/eV/cell): 6.52
Energy relative to the elements (meV per atom): 1078.8